(1)
NaPuI6 | GGA-PBE | relaxed

Structure (POSCAR):
```
NaPuI6
1.0
3.859 2.228 6.918
-3.859 2.228 6.918
0.000 -4.456 6.918
Na Pu I
1 1 6
Cartesian
0.000 0.000 0.000 Na
0.000 0.000 10.378 Pu
-2.415 -0.132 8.677 I
-1.093 -2.157 12.078 I
1.322 -2.025 8.677 I
-1.322 2.025 12.078 I
1.093 2.157 8.677 I
2.415 0.132 12.078 I
```

ΔE_f (raw), kJ/mol of formula units: -601
Theoretical density, g/cm³: 4.78
Volume, Å³/cell: 357
Spin magnetization, μB per formula unit: 2.98
DFT total energy, eV/atom: -3.90

***

(2)
ZnInAuCl | GGA-PBE | relaxed

Structure (POSCAR):
```
ZnInAuCl
1.0
3.571 0.000 0.000
0.000 3.578 0.000
-1.767 0.000 7.472
Zn In Au Cl
1 1 1 1
Cartesian
0.000 0.000 0.000 Zn
-0.002 1.789 3.196 In
1.785 1.789 0.799 Au
1.797 0.000 5.067 Cl
```

ΔE_f (raw), kJ/mol of formula units: -141
Theoretical density, g/cm³: 7.18
Volume, Å³/cell: 95
Spin magnetization, μB per formula unit: 0.00
DFT total energy, eV/atom: -2.65

***

(3)
FeAg2Se | GGA-PBE | relaxed

Structure (POSCAR):
```
FeAg2Se
1.0
-2.075 2.075 4.037
2.075 -2.075 4.037
2.075 2.075 -4.037
Fe Ag Se
1 2 1
Cartesian
0.000 0.000 0.000 Fe
0.000 0.000 4.037 Ag
0.000 2.075 2.018 Ag
2.075 0.000 2.018 Se
```

ΔE_f (raw), kJ/mol of formula units: 140
Theoretical density, g/cm³: 8.38
Volume, Å³/cell: 69
Spin magnetization, μB per formula unit: 3.02
DFT total energy, eV/atom: -4.05

***

(4)
BaZr2Co | GGA-PBE | relaxed

Structure (POSCAR):
```
BaZr2Co
1.0
2.338 -2.354 0.000
2.338 2.354 0.000
0.000 0.000 9.019
Ba Zr Co
1 2 1
Cartesian
0.000 0.000 0.000 Ba
2.338 0.000 3.069 Zr
2.338 0.000 5.950 Zr
0.000 0.000 4.510 Co
```

Theoretical density, g/cm³: 6.33
Volume, Å³/cell: 99
Spin magnetization, μB per formula unit: 0.01
DFT total energy, eV/atom: -6.28
Energy of formation from the pure elements, eV per atom: 0.246

***

Q: Look up the spin magnetization of the first one.
A: 2.98 μB per formula unit